NaPu2PbO8 | PBE | optimized geometry

The structure belongs to space group P-3 (No. 147); the cell edges are 5.8794, 5.8794 and 5.8671 Å and the angles 90.00°, 90.00° and 120.00°. The asymmetric unit holds Na at (0.0000, 0.0000, 0.0000), Pu at (0.3333, 0.6667, 0.9332), Pb at (0.0000, 0.0000, 0.5000), O at (0.0570, 0.3728, 0.1567) and O at (0.3333, 0.6667, 0.6139).

The formation energy from raw total energies comes out at -1.787 eV per atom.